(1)
{
  "formula": "ZrReCl3",
  "functional": "PBE",
  "state": "optimized geometry",
  "space_group": "No. 221",
  "polymorph_energy_mev_per_atom": 0.0,
  "e_form_raw_ev_per_atom": 0.296,
  "lattice_angstrom": [[-1.2768, -4.8343, 1.0285], [4.4617, -1.5844, -1.9082], [2.1263, 0.4216, 4.6216]],
  "species": ["Cl", "Cl", "Cl", "Zr", "Re"],
  "fractional_positions": [[0.0000, 0.0000, 0.5000], [0.0000, 0.5000, 0.0000], [0.5000, 0.0000, 0.0000], [0.0000, 0.0000, 0.0000], [0.5000, 0.5000, 0.5000]]
}


(2)
{
  "formula": "ZrReCl2",
  "functional": "PBE",
  "state": "optimized geometry",
  "space_group": "No. 6",
  "polymorph_energy_mev_per_atom": 0.0,
  "e_form_raw_ev_per_atom": -0.546,
  "lattice_angstrom": [[-2.6786, -0.7235, 1.3706], [-1.5335, -0.0756, -3.0369], [1.7345, -8.8258, -1.2688]],
  "species": ["Re", "Zr", "Cl", "Cl"],
  "fractional_positions": [[0.0000, 0.3910, 0.5244], [0.5000, 0.8603, 0.7139], [0.0000, 0.8247, 0.9375], [0.5000, 0.4240, 0.3241]]
}


(3)
{
  "formula": "ZrReCl2",
  "functional": "PBE",
  "state": "optimized geometry",
  "space_group": "No. 35",
  "polymorph_energy_mev_per_atom": 342.5,
  "e_form_raw_ev_per_atom": -0.203,
  "lattice_angstrom": [[3.1387, -0.0077, 0.0000], [-1.2721, 2.8694, 0.0000], [0.0000, 0.0000, 9.5739]],
  "species": ["Zr", "Cl", "Cl", "Re"],
  "fractional_positions": [[0.5000, 0.5000, 0.7324], [0.0000, 0.0000, 0.9387], [0.5000, 0.5000, 0.3134], [0.0000, 0.0000, 0.5155]]
}


(4)
{
  "formula": "ZrReCl2",
  "functional": "PBE",
  "state": "optimized geometry",
  "space_group": "No. 123",
  "polymorph_energy_mev_per_atom": 855.2,
  "e_form_raw_ev_per_atom": 0.309,
  "lattice_angstrom": [[-0.9096, -0.4094, -2.7729], [2.7870, -0.4411, -0.8491], [-1.0500, -10.1964, 1.8498]],
  "species": ["Zr", "Re", "Cl", "Cl"],
  "fractional_positions": [[0.5000, 0.5000, 0.7500], [0.5000, 0.5000, 0.2500], [0.0000, 0.0000, 0.5909], [0.0000, 0.0000, 0.9091]]
}


(5)
{
  "formula": "ZrReCl2",
  "functional": "PBE",
  "state": "optimized geometry",
  "space_group": "No. 166",
  "polymorph_energy_mev_per_atom": 624.6,
  "e_form_raw_ev_per_atom": 0.079,
  "lattice_angstrom": [[11.0692, -0.0045, -0.0026], [10.6515, 3.0119, -0.0026], [10.6515, 1.4748, 2.6261]],
  "species": ["Cl", "Cl", "Zr", "Re"],
  "fractional_positions": [[0.4746, 0.4746, 0.4746], [0.0254, 0.0254, 0.0254], [0.7500, 0.7500, 0.7500], [0.2500, 0.2500, 0.2500]]
}


(6)
{
  "formula": "ZrReCl2",
  "functional": "PBE",
  "state": "optimized geometry",
  "space_group": "No. 65",
  "polymorph_energy_mev_per_atom": 868.8,
  "e_form_raw_ev_per_atom": 0.323,
  "lattice_angstrom": [[-3.0162, -0.5236, -0.1943], [1.9230, -2.1489, 1.0458], [-1.3306, 3.8334, 10.3235]],
  "species": ["Zr", "Re", "Cl", "Cl"],
  "fractional_positions": [[0.5000, 0.5000, 0.7500], [0.5000, 0.5000, 0.2500], [0.0000, 0.0000, 0.9352], [0.0000, 0.0000, 0.5648]]
}


(7)
{
  "formula": "ZrReCl2",
  "functional": "PBE",
  "state": "optimized geometry",
  "space_group": "No. 99",
  "polymorph_energy_mev_per_atom": 247.1,
  "e_form_raw_ev_per_atom": -0.299,
  "lattice_angstrom": [[3.0449, 0.0000, 0.0000], [0.0000, 3.0449, 0.0000], [0.0000, 0.0000, 8.9327]],
  "species": ["Cl", "Cl", "Re", "Zr"],
  "fractional_positions": [[0.5000, 0.5000, 0.3314], [0.0000, 0.0000, 0.9273], [0.0000, 0.0000, 0.5073], [0.5000, 0.5000, 0.7340]]
}


(8)
{
  "formula": "ZrReCl2",
  "functional": "PBE",
  "state": "optimized geometry",
  "space_group": "No. 166",
  "polymorph_energy_mev_per_atom": 458.1,
  "e_form_raw_ev_per_atom": -0.088,
  "lattice_angstrom": [[1.3386, 2.4734, 8.3102], [4.2153, 1.8607, 7.4658], [2.9893, 4.5958, 6.8492]],
  "species": ["Re", "Cl", "Cl", "Zr"],
  "fractional_positions": [[0.0000, 0.0000, 0.0000], [0.9086, 0.9086, 0.9086], [0.0914, 0.0914, 0.0914], [0.5000, 0.5000, 0.5000]]
}


(9)
{
  "formula": "ZrReCl2",
  "functional": "PBE",
  "state": "optimized geometry",
  "space_group": "No. 160",
  "polymorph_energy_mev_per_atom": 204.8,
  "e_form_raw_ev_per_atom": -0.341,
  "lattice_angstrom": [[-8.9064, 4.0013, 1.3469], [-8.6781, 2.3783, 4.0228], [-7.4212, 5.2460, 3.8150]],
  "species": ["Re", "Cl", "Cl", "Zr"],
  "fractional_positions": [[0.5020, 0.5020, 0.5020], [0.2266, 0.2266, 0.2266], [0.0204, 0.0204, 0.0204], [0.7510, 0.7510, 0.7510]]
}


(10)
{
  "formula": "ZrReCl3",
  "functional": "PBE",
  "state": "optimized geometry",
  "space_group": "No. 221",
  "polymorph_energy_mev_per_atom": 369.4,
  "e_form_raw_ev_per_atom": 0.665,
  "lattice_angstrom": [[4.8189, 0.0000, 0.0000], [0.0000, 4.8189, 0.0000], [0.0000, 0.0000, 4.8189]],
  "species": ["Re", "Cl", "Cl", "Cl", "Zr"],
  "fractional_positions": [[0.0000, 0.0000, 0.0000], [0.0000, 0.0000, 0.5000], [0.0000, 0.5000, 0.0000], [0.5000, 0.0000, 0.0000], [0.5000, 0.5000, 0.5000]]
}


(11)
{
  "formula": "Zr3ReCl",
  "functional": "PBE",
  "state": "optimized geometry",
  "space_group": "No. 221",
  "polymorph_energy_mev_per_atom": 0.0,
  "e_form_raw_ev_per_atom": 0.379,
  "lattice_angstrom": [[4.7026, 0.0000, 0.0000], [0.0000, 4.7026, 0.0000], [0.0000, 0.0000, 4.7026]],
  "species": ["Zr", "Zr", "Zr", "Re", "Cl"],
  "fractional_positions": [[0.0000, 0.0000, 0.5000], [0.5000, 0.0000, 0.0000], [0.0000, 0.5000, 0.0000], [0.5000, 0.5000, 0.5000], [0.0000, 0.0000, 0.0000]]
}


(12)
{
  "formula": "ZrReCl2",
  "functional": "PBE",
  "state": "optimized geometry",
  "space_group": "No. 99",
  "polymorph_energy_mev_per_atom": 493.0,
  "e_form_raw_ev_per_atom": -0.053,
  "lattice_angstrom": [[3.5508, 0.0000, 0.0000], [0.0000, 3.5530, 0.0000], [0.0000, 0.0000, 7.0470]],
  "species": ["Cl", "Cl", "Zr", "Re"],
  "fractional_positions": [[0.0000, 0.0000, 0.9075], [0.5000, 0.5000, 0.3198], [0.5000, 0.5000, 0.7142], [0.0000, 0.0000, 0.5585]]
}